A relaxed HfSiB crystal, computed with GGA-PBE.

For the total moment, the calculation gives 0.1 μB per cell. The total energy is -6.512 eV per atom. The value obtained for the volume is 189 Å³/cell. For the density, the calculation gives 7.62 g/cm³.

It has space group F-43m (No. 216), with a = 5.7432 Å, b = 5.7432 Å, c = 5.7432 Å, α = 90.00°, β = 90.00° and γ = 90.00°. The inequivalent atoms are Hf at (0.0000, 0.0000, 0.0000), Si at (0.2500, 0.2500, 0.7500) and B at (0.0000, 0.0000, 0.5000).



A relaxed Tc2SbPd crystal, computed with GGA-PBE.

For the total moment, the calculation gives 1.9 μB per cell. The total energy is -7.251 eV per atom. The value obtained for the volume is 260 Å³/cell. For the density, the calculation gives 10.83 g/cm³.

It has space group F-43m (No. 216), with a = 6.3839 Å, b = 6.3839 Å, c = 6.3839 Å, α = 90.00°, β = 90.00° and γ = 90.00°. The inequivalent atoms are Tc at (0.0000, 0.0000, 0.0000), Tc at (0.2500, 0.2500, 0.2500), Sb at (0.0000, 0.0000, 0.5000) and Pd at (0.2500, 0.2500, 0.7500).